Entry 1:
DFT (GGA-PBE) results for an optimized crystal structure of Mg5Np2O12.

The structure in CIF format:
```
data_Mg5Np2O12
_chemical_formula_sum 'Mg10 Np4 O24'
_space_group_name_H-M_alt 'C 1 2/m 1'
_space_group_IT_number 12
_cell_length_a 10.2627
_cell_length_b 6.0979
_cell_length_c 8.8162
_cell_angle_alpha 90.00
_cell_angle_beta 114.13
_cell_angle_gamma 90.00
loop_
_space_group_symop_operation_xyz
'x,y,z'
'-x,-y,-z'
'-x,y,-z'
'x,-y,z'
'x+1/2,y+1/2,z'
'-x+1/2,-y+1/2,-z'
'-x+1/2,y+1/2,-z'
'x+1/2,-y+1/2,z'
loop_
_atom_site_label
_atom_site_type_symbol
_atom_site_fract_x
_atom_site_fract_y
_atom_site_fract_z
Mg1 Mg 0.0000 0.0000 0.0000
Mg2 Mg 0.1594 0.5000 0.2102
Mg3 Mg 0.1945 0.5000 0.9077
Np1 Np 0.0000 0.2640 0.5000
O1 O 0.0059 0.5000 0.3021
O2 O 0.0173 0.0000 0.3620
O3 O 0.1429 0.2526 0.0404
O4 O 0.1957 0.2455 0.6250
```

Output
density	5194	kg/m3
energy relative to the elements, uncorrected	-2303.4	meV per atom
M_tot	2.35	μB/f.u.
E	-137.1	eV/f.u.

Entry 2:
DFT (GGA-PBE) results for an optimized crystal structure of MgNpO4.

The structure in CIF format:
```
data_MgNpO4
_chemical_formula_sum 'Mg2 Np2 O8'
_space_group_name_H-M_alt 'P 1 21/c 1'
_space_group_IT_number 14
_cell_length_a 5.7698
_cell_length_b 4.9994
_cell_length_c 6.0552
_cell_angle_alpha 90.00
_cell_angle_beta 114.82
_cell_angle_gamma 90.00
loop_
_space_group_symop_operation_xyz
'x,y,z'
'-x,-y,-z'
'-x,y+1/2,-z+1/2'
'x,-y+1/2,z+1/2'
loop_
_atom_site_label
_atom_site_type_symbol
_atom_site_fract_x
_atom_site_fract_y
_atom_site_fract_z
Mg1 Mg 0.0000 0.0000 0.0000
Np1 Np 0.5000 0.0000 0.5000
O1 O 0.1739 0.1844 0.3644
O2 O 0.3425 0.6964 0.6551
```

Output
density	6815	kg/m3
energy relative to the elements, uncorrected	-2770.4	meV per atom
M_tot	1.00	μB/f.u.
E	-51.0	eV/f.u.

Entry 3:
DFT (GGA-PBE) results for an optimized crystal structure of MgNpO5.

The structure in CIF format:
```
data_MgNpO5
_chemical_formula_sum 'Mg4 Np4 O20'
_space_group_name_H-M_alt 'P 1 21/c 1'
_space_group_IT_number 14
_cell_length_a 5.2835
_cell_length_b 10.2552
_cell_length_c 7.2874
_cell_angle_alpha 90.00
_cell_angle_beta 105.73
_cell_angle_gamma 90.00
loop_
_space_group_symop_operation_xyz
'x,y,z'
'-x,-y,-z'
'-x,y+1/2,-z+1/2'
'x,-y+1/2,z+1/2'
loop_
_atom_site_label
_atom_site_type_symbol
_atom_site_fract_x
_atom_site_fract_y
_atom_site_fract_z
Mg1 Mg 0.0887 0.2438 0.3813
Np1 Np 0.4522 0.0303 0.7484
O1 O 0.1760 0.5884 0.1967
O2 O 0.1869 0.1846 0.6524
O3 O 0.2610 0.6444 0.6922
O4 O 0.3436 0.0942 0.9886
O5 O 0.3624 0.0848 0.3893
```

Output
density	5965	kg/m3
energy relative to the elements, uncorrected	-2208.3	meV per atom
M_tot	0.00	μB/f.u.
E	-54.8	eV/f.u.

Entry 4:
DFT (GGA-PBE) results for an optimized crystal structure of Mg4Np2O9.

The structure in CIF format:
```
data_Mg4Np2O9
_chemical_formula_sum 'Mg8 Np4 O18'
_space_group_name_H-M_alt 'P -3 c 1'
_space_group_IT_number 165
_space_group_name_Hall '-P 3 2"c'
_cell_length_a 5.3625
_cell_length_b 5.3625
_cell_length_c 14.7164
_cell_angle_alpha 90.00
_cell_angle_beta 90.00
_cell_angle_gamma 120.00
loop_
_atom_site_label
_atom_site_type_symbol
_atom_site_fract_x
_atom_site_fract_y
_atom_site_fract_z
Mg1 Mg 0.3333 0.6667 0.1856
Mg2 Mg 0.3333 0.6667 0.4851
Np1 Np 0.0000 0.0000 0.1407
O1 O 0.0000 0.2968 0.2500
O2 O 0.0284 0.3675 0.5822
```

Output
density	6483	kg/m3
energy relative to the elements, uncorrected	-2718.7	meV per atom
M_tot	4.00	μB/f.u.
E	-117.7	eV/f.u.

Q: Which of these has the highest energy relative to the elements, uncorrected?
A: MgNpO5